This record from the Alexandria database describes a PBEsol-optimized structure of La2Sb4Ir3. The functional is SCAN.

Calculated values
Raw total energy = -50.766 eV/atom

abc: 16.192 4.576 10.956
angles: 90.00 90.00 90.00
Space group Pnma (No. 62)
Asymmetric unit:
La  0.007  0.250  0.249
La  0.249  0.750  0.588
Sb  0.068  0.750  0.449
Sb  0.106  0.750  0.060
Sb  0.152  0.250  0.777
Sb  0.209  0.250  0.386
Ir  0.056  0.250  0.967
Ir  0.093  0.250  0.558
Ir  0.181  0.750  0.277